Record 1
InB3S | PBE | relaxed

## Properties
**Excess energy over the best structure of this formula in the dataset**: 724 meV/atom
**DOS(E_F)**: 1.5 states/eV/f.u.
**Symmetry**: Pm-3m, No. 221
**Crystal system**: cubic
**Raw formation energy**: 223.4 kJ/mol of atoms

Lattice parameters (Å, degrees): 4.505 4.505 4.505 90.00 90.00 90.00
Sites, in units of the cell vectors:
S1 0.500 0.500 0.500
B1 0.000 0.500 0.000
B2 0.000 0.000 0.500
B3 0.500 0.000 0.000
In1 0.000 0.000 0.000


Record 2
Ce2InOs | PBE | relaxed

## Properties
**Excess energy over the best structure of this formula in the dataset**: 0 meV/atom
**DOS(E_F)**: 5.5 states/eV/f.u.
**Symmetry**: P4/mmm, No. 123
**Crystal system**: tetragonal
**Energy of formation**: -0.3032 eV per atom

Lattice parameters (Å, degrees): 3.257 3.257 8.933 90.00 90.00 90.00
Sites, in units of the cell vectors:
Os1 0.500 0.500 0.000
Ce1 0.000 0.000 0.792
Ce2 0.000 0.000 0.208
In1 0.500 0.500 0.500